MgSb2Te: relaxed, GGA-PBE.

The calculation puts the formation energy (no corrections) at -0.128 eV per atom. Its total magnetization is 0.0 μB per formula unit. The value obtained for the energy relative to the lowest polymorph listed for this composition is 0.1431 eV per atom.

The structure belongs to space group C2/m (No. 12); the cell edges are 13.778, 4.059 and 4.233 Å and the angles 90.00°, 94.92° and 90.00°. Symmetry generates all atoms from Mg at (0.000, 0.000, 0.000), Sb at (0.213, 0.500, 0.250) and Te at (0.000, 0.500, 0.500).